The following is a DFT calculation (PBE) of Co2SnPd after structural relaxation.

Results
Total magnetic moment, μB per cell: 5.94
Crystal system: tetragonal
Formation energy, kJ/mol of formula units: 122
Final energy, eV per atom: -5.53

```
Co2SnPd
1.0
-1.874 1.874 9.248
1.874 -1.874 9.248
1.874 1.874 -9.248
Co Sn Pd
4 2 2
Direct
0.074 0.625 0.949 Co
0.375 0.324 0.449 Co
0.676 0.125 0.051 Co
0.875 0.926 0.551 Co
0.250 0.750 0.500 Sn
0.500 0.500 0.000 Sn
0.000 0.000 0.000 Pd
0.750 0.250 0.500 Pd
```


The following is a DFT calculation (PBE) of PaHgPt2 after structural relaxation.

Results
Total magnetic moment, μB per cell: 0.00
Distance to the lowest polymorph of the same formula, kJ per mole of atoms: 0.00
Crystal system: cubic
Formation energy, kJ/mol of formula units: -261
Final energy, eV per atom: -6.15

```
PaHgPt2
1.0
0.000 3.430 3.430
3.430 0.000 3.430
3.430 3.430 0.000
Pa Hg Pt
1 1 2
Direct
0.000 0.000 0.000 Pa
0.500 0.500 0.500 Hg
0.250 0.250 0.250 Pt
0.750 0.750 0.750 Pt
```


The following is a DFT calculation (PBE) of Cs3Th2TlTe6 after structural relaxation.

Results
Total magnetic moment, μB per cell: 0.00
Crystal system: monoclinic
Energy relative to the elements, uncorrected, kJ per mole of atoms: -108
Final energy, eV per atom: -4.34

```
Cs3Th2TlTe6
1.0
11.179 -2.366 0.000
11.179 2.366 0.000
-3.257 0.000 10.094
Cs Th Tl Te
3 2 1 6
Direct
0.000 0.000 0.000 Cs
0.346 0.346 0.664 Cs
0.654 0.654 0.336 Cs
0.334 0.334 0.168 Th
0.666 0.666 0.832 Th
0.000 0.000 0.500 Tl
0.170 0.170 0.638 Te
0.180 0.180 0.048 Te
0.474 0.474 0.250 Te
0.526 0.526 0.750 Te
0.820 0.820 0.952 Te
0.830 0.830 0.362 Te
```


The following is a DFT calculation (PBE) of Zr5Ag after structural relaxation.

Results
Total magnetic moment, μB per cell: 0.00
Distance to the lowest polymorph of the same formula, kJ per mole of atoms: 0.00
Crystal system: tetragonal
Formation energy, kJ/mol of formula units: -15
Final energy, eV per atom: -7.63

```
Zr5Ag
1.0
3.203 0.000 0.000
0.000 3.203 0.000
0.000 0.000 13.042
Zr Ag
5 1
Direct
0.000 0.000 0.000 Zr
0.000 0.000 0.343 Zr
0.000 0.000 0.657 Zr
0.500 0.500 0.173 Zr
0.500 0.500 0.827 Zr
0.500 0.500 0.500 Ag
```


The following is a DFT calculation (PBE) of Al2PCl after structural relaxation.

Results
Total magnetic moment, μB per cell: 0.00
Distance to the lowest polymorph of the same formula, kJ per mole of atoms: 5.66
Crystal system: trigonal
Energy relative to the elements, uncorrected, kJ per mole of atoms: -25
Final energy, eV per atom: -3.94

```
Al2PCl
1.0
1.829 1.056 8.485
-1.829 1.056 8.485
0.000 -2.112 8.485
Al P Cl
2 1 1
Direct
0.000 0.000 0.000 Al
0.251 0.251 0.251 Al
0.547 0.547 0.547 P
0.728 0.728 0.728 Cl
```


The following is a DFT calculation (PBE) of TcPdRh2Au after structural relaxation.

Results
Total magnetic moment, μB per cell: 4.92
Crystal system: tetragonal
Formation energy, kJ/mol of formula units: 925
Final energy, eV per atom: -4.79

```
TcPdRh2Au
1.0
4.843 0.000 0.000
0.000 4.843 0.000
0.000 0.000 4.906
Tc Pd Rh Au
1 1 2 1
Direct
0.000 0.000 0.000 Tc
0.500 0.500 0.000 Pd
0.000 0.500 0.500 Rh
0.500 0.000 0.500 Rh
0.000 0.000 0.500 Au
```


The following is a DFT calculation (PBE) of Mg2GaBPt6 after structural relaxation.

Results
Total magnetic moment, μB per cell: 0.00
Crystal system: orthorhombic
Formation energy, kJ/mol of formula units: -467
Final energy, eV per atom: -5.40

```
Mg2GaBPt6
1.0
5.611 0.000 0.000
0.000 8.445 0.000
0.000 0.000 7.285
Mg Ga B Pt
4 2 2 12
Direct
0.250 0.037 0.212 Mg
0.250 0.463 0.212 Mg
0.750 0.537 0.788 Mg
0.750 0.963 0.788 Mg
0.250 0.750 0.839 Ga
0.750 0.250 0.161 Ga
0.250 0.250 0.677 B
0.750 0.750 0.323 B
0.004 0.750 0.536 Pt
0.010 0.750 0.119 Pt
0.250 0.006 0.648 Pt
0.250 0.494 0.648 Pt
0.490 0.750 0.119 Pt
0.496 0.750 0.536 Pt
0.504 0.250 0.464 Pt
0.510 0.250 0.881 Pt
0.750 0.506 0.352 Pt
0.750 0.994 0.352 Pt
0.990 0.250 0.881 Pt
0.996 0.250 0.464 Pt
```


The following is a DFT calculation (PBE) of AlNiAs2Br after structural relaxation.

Results
Total magnetic moment, μB per cell: 0.00
Distance to the lowest polymorph of the same formula, kJ per mole of atoms: 0.00
Crystal system: tetragonal
Energy relative to the elements, uncorrected, kJ per mole of atoms: 34
Final energy, eV per atom: -3.75

```
AlNiAs2Br
1.0
4.379 0.000 0.000
0.000 4.379 0.000
0.000 0.000 7.667
Al Ni As Br
1 1 2 1
Direct
0.000 0.000 0.000 Al
0.500 0.500 0.500 Ni
0.000 0.500 0.500 As
0.500 0.000 0.500 As
0.500 0.500 0.000 Br
```


The following is a DFT calculation (PBE) of KNa2Ga after structural relaxation.

Results
Total magnetic moment, μB per cell: 0.00
Crystal system: tetragonal
Formation energy, kJ/mol of formula units: 45
Final energy, eV per atom: -1.57

```
KNa2Ga
1.0
5.204 0.000 0.000
0.000 5.204 0.000
0.000 0.000 5.083
K Na Ga
1 2 1
Direct
0.000 0.000 0.000 K
0.000 0.500 0.500 Na
0.500 0.000 0.500 Na
0.500 0.500 0.000 Ga
```


The following is a DFT calculation (PBE) of LiSi2Ni after structural relaxation.

Results
Total magnetic moment, μB per cell: 0.00
Distance to the lowest polymorph of the same formula, kJ per mole of atoms: 19.99
Crystal system: monoclinic
Energy relative to the elements, uncorrected, kJ per mole of atoms: -14
Final energy, eV per atom: -4.78

```
LiSi2Ni
1.0
2.674 0.000 0.000
0.000 4.298 0.000
-0.759 0.000 4.432
Li Si Ni
1 2 1
Direct
0.000 0.000 0.000 Li
0.316 0.500 0.240 Si
0.410 0.000 0.533 Si
0.609 0.500 0.790 Ni
```


The following is a DFT calculation (PBE) of PmNd5HoTm2 after structural relaxation.

Results
Total magnetic moment, μB per cell: 0.00
Crystal system: orthorhombic
Formation energy, kJ/mol of formula units: 128
Final energy, eV per atom: -4.53

```
PmNd5HoTm2
1.0
2.824 -10.203 0.000
2.824 10.203 0.000
0.000 0.000 10.754
Pm Nd Ho Tm
2 10 2 4
Direct
0.200 0.800 0.500 Pm
0.800 0.200 0.000 Pm
0.016 0.984 0.511 Nd
0.281 0.719 0.800 Nd
0.296 0.704 0.194 Nd
0.389 0.611 0.514 Nd
0.481 0.519 0.233 Nd
0.519 0.481 0.733 Nd
0.611 0.389 0.014 Nd
0.704 0.296 0.694 Nd
0.719 0.281 0.300 Nd
0.984 0.016 0.011 Nd
0.410 0.590 0.949 Ho
0.590 0.410 0.449 Ho
0.110 0.890 0.230 Tm
0.116 0.884 0.804 Tm
0.884 0.116 0.304 Tm
0.890 0.110 0.730 Tm
```


The following is a DFT calculation (PBE) of TeWCl2 after structural relaxation.

Results
Total magnetic moment, μB per cell: 0.00
Distance to the lowest polymorph of the same formula, kJ per mole of atoms: 27.85
Crystal system: monoclinic
Energy relative to the elements, uncorrected, kJ per mole of atoms: 1
Final energy, eV per atom: -4.94

```
TeWCl2
1.0
3.014 -1.740 0.000
3.014 1.740 0.000
-1.998 0.000 8.491
Te W Cl
1 1 2
Direct
0.000 0.000 0.000 Te
0.740 0.740 0.220 W
0.249 0.249 0.746 Cl
0.468 0.468 0.405 Cl
```